1.
A plane-wave DFT calculation with PBE was carried out for an optimized crystal structure of Tm5SnRh2.

## Properties
E_tot = -47.0 eV/f.u.
SG = I4/mcm, No. 140
Energy relative to the elements = -0.745 eV per atom

a b c (Å): 8.567 8.567 8.567
angles (deg): 126.84 126.84 78.51
Atoms (fractional coordinates):
Tm: 0.000 0.000 0.000
Tm: 0.021 0.521 0.815
Tm: 0.207 0.021 0.500
Tm: 0.293 0.793 0.815
Tm: 0.479 0.293 0.500
Tm: 0.500 0.500 0.000
Tm: 0.521 0.707 0.500
Tm: 0.707 0.207 0.185
Tm: 0.793 0.979 0.500
Tm: 0.979 0.479 0.185
Sn: 0.250 0.250 0.000
Sn: 0.750 0.750 0.000
Rh: 0.140 0.360 0.500
Rh: 0.360 0.860 0.221
Rh: 0.640 0.140 0.779
Rh: 0.860 0.640 0.500

***

2.
A plane-wave DFT calculation with PBE was carried out for an optimized crystal structure of InPb5.

## Properties
E_tot = -21.1 eV/f.u.
E above lowest polymorph = 0.029 eV per atom
SG = Cmmm, No. 65
Energy relative to the elements = 0.027 eV per atom

a b c (Å): 5.966 5.966 6.070
angles (deg): 90.00 90.00 120.58
Atoms (fractional coordinates):
In: 0.000 0.000 0.000
Pb: 0.165 0.835 0.500
Pb: 0.332 0.668 0.000
Pb: 0.500 0.500 0.500
Pb: 0.668 0.332 0.000
Pb: 0.835 0.165 0.500

***

3.
A plane-wave DFT calculation with PBE was carried out for an optimized crystal structure of AcPmPrGa.

## Properties
E_tot = -16.7 eV/f.u.
SG = F-43m, No. 216
Energy relative to the elements = 0.002 eV per atom

a b c (Å): 5.607 5.607 5.607
angles (deg): 60.00 60.00 60.00
Atoms (fractional coordinates):
Ac: 0.000 0.000 0.000
Pm: 0.750 0.750 0.750
Pr: 0.250 0.250 0.250
Ga: 0.500 0.500 0.500